[1]
A plane-wave DFT calculation with PBE was carried out for crystalline LiTeHN2 at its relaxed geometry.

```
LiTeHN2
1.0
3.483 0.000 0.000
0.000 3.483 0.000
0.000 0.000 4.945
Li Te H N
1 1 1 2
direct
0.000 0.000 0.000 Li
0.000 0.000 0.500 Te
0.500 0.500 0.500 H
0.000 0.500 0.000 N
0.500 0.000 0.000 N
```

Fermi-level density of states: 0.362 states/eV per atom
Crystal system: tetragonal
Energy above the most stable polymorph in this dataset: 30.7 kJ/mol of atoms
ρ: 4.53 g cm⁻³
SG: P4/mmm, No. 123


[2]
A plane-wave DFT calculation with PBE was carried out for crystalline Zn2CoCl at its relaxed geometry.

```
Zn2CoCl
1.0
2.923 0.000 0.000
0.000 2.923 0.000
0.000 0.000 7.831
Zn Co Cl
2 1 1
direct
0.000 0.000 0.000 Zn
0.500 0.500 0.226 Zn
0.500 0.500 0.793 Co
0.000 0.000 0.614 Cl
```

Fermi-level density of states: 0.709 states/eV per atom
Crystal system: tetragonal
Energy above the most stable polymorph in this dataset: 20.9 kJ/mol of atoms
ρ: 5.59 g cm⁻³
SG: P4mm, No. 99


[3]
A plane-wave DFT calculation with PBE was carried out for crystalline TbDyHoEr at its relaxed geometry.

```
TbDyHoEr
1.0
-2.492 2.492 4.984
2.492 -2.492 4.984
2.492 2.492 -4.984
Tb Dy Ho Er
1 1 1 1
direct
0.000 0.000 0.000 Tb
0.750 0.250 0.500 Dy
0.250 0.750 0.500 Ho
0.500 0.500 0.000 Er
```

Fermi-level density of states: 1.408 states/eV per atom
Crystal system: tetragonal
Energy of formation: 0.08 eV per formula unit
Energy above the most stable polymorph in this dataset: 0.0 kJ/mol of atoms
ρ: 8.77 g cm⁻³
SG: I-4m2, No. 119


[4]
A plane-wave DFT calculation with PBE was carried out for crystalline SmSnH8Ir2 at its relaxed geometry.

```
SmSnH8Ir2
1.0
2.436 1.407 5.965
-2.436 1.407 5.965
0.000 -2.813 5.965
Sm Sn H Ir
1 1 8 2
direct
0.000 0.000 0.000 Sm
0.500 0.500 0.500 Sn
0.029 0.032 0.615 H
0.032 0.615 0.029 H
0.322 0.322 0.322 H
0.385 0.971 0.968 H
0.615 0.029 0.032 H
0.678 0.678 0.678 H
0.968 0.385 0.971 H
0.971 0.968 0.385 H
0.232 0.232 0.232 Ir
0.768 0.768 0.768 Ir
```

Fermi-level density of states: 0.363 states/eV per atom
Electronic total energy: -4.456 eV/atom
Crystal system: trigonal
ρ: 8.96 g cm⁻³
SG: R-3, No. 148


[5]
A plane-wave DFT calculation with PBE was carried out for crystalline KNa2PdPb at its relaxed geometry.

```
KNa2PdPb
1.0
5.925 0.000 0.000
0.000 5.925 0.000
0.000 0.000 5.254
K Na Pd Pb
1 2 1 1
direct
0.000 0.000 0.000 K
0.000 0.500 0.500 Na
0.500 0.000 0.500 Na
0.500 0.500 0.000 Pd
0.500 0.500 0.500 Pb
```

Fermi-level density of states: 0.536 states/eV per atom
Crystal system: tetragonal
Energy of formation: 0.17 eV per formula unit
Energy above the most stable polymorph in this dataset: 16.5 kJ/mol of atoms
ρ: 3.59 g cm⁻³
SG: P4/mmm, No. 123


[6]
A plane-wave DFT calculation with PBE was carried out for crystalline SnSb6Pb12 at its relaxed geometry.

```
SnSb6Pb12
1.0
6.101 3.522 4.673
-6.101 3.522 4.673
0.000 -7.045 4.673
Sn Sb Pb
1 6 12
direct
0.000 0.000 0.000 Sn
0.136 0.288 0.737 Sb
0.263 0.864 0.712 Sb
0.288 0.737 0.136 Sb
0.712 0.263 0.864 Sb
0.737 0.136 0.288 Sb
0.864 0.712 0.263 Sb
0.002 0.370 0.145 Pb
0.145 0.002 0.370 Pb
0.202 0.554 0.455 Pb
0.370 0.145 0.002 Pb
0.446 0.545 0.798 Pb
0.455 0.202 0.554 Pb
0.545 0.798 0.446 Pb
0.554 0.455 0.202 Pb
0.630 0.855 0.998 Pb
0.798 0.446 0.545 Pb
0.855 0.998 0.630 Pb
0.998 0.630 0.855 Pb
```

Fermi-level density of states: 0.480 states/eV per atom
Electronic total energy: -3.764 eV/atom
Crystal system: trigonal
ρ: 9.19 g cm⁻³
SG: R-3, No. 148